Here is crystalline Cu2RuAu at its relaxed geometry from Alexandria. Energies are from PBE-GGA.

Properties
For the density, the calculation gives 12.5 g/cm3. The space group is P4/mmm (123). For the energy relative to the elements, the calculation gives 0.28 eV per atom. The calculation puts the density of states at the Fermi level at 1.073 states/eV/atom. The offset from the most stable computed form is 86 meV/atom. The calculation puts the magnetization at 0.00 μB per formula unit.

a = 4.519 Å, b = 4.519 Å, c = 2.755 Å
α = 90.00°, β = 90.00°, γ = 90.00°
Atoms (fractional coordinates):
Cu (0.000, 0.500, 0.000)
Cu (0.500, 0.000, 0.000)
Ru (0.000, 0.000, 0.500)
Au (0.500, 0.500, 0.500)

***

Here is crystalline CuRu2Au at its relaxed geometry from Alexandria. Energies are from PBE-GGA.

Properties
For the density, the calculation gives 13.0 g/cm3. The space group is R3m (160). For the energy relative to the elements, the calculation gives 0.21 eV per atom. The calculation puts the density of states at the Fermi level at 1.218 states/eV/atom. The offset from the most stable computed form is 46 meV/atom. The calculation puts the magnetization at 0.00 μB per formula unit.

a = 9.001 Å, b = 9.001 Å, c = 9.001 Å
α = 17.74°, β = 17.74°, γ = 17.74°
Atoms (fractional coordinates):
Cu (0.000, 0.000, 0.000)
Ru (0.252, 0.252, 0.252)
Ru (0.510, 0.510, 0.510)
Au (0.751, 0.751, 0.751)

***

Here is crystalline CuRuAu2 at its relaxed geometry from Alexandria. Energies are from PBE-GGA.

Properties
For the density, the calculation gives 14.7 g/cm3. The space group is P4mm (99). For the energy relative to the elements, the calculation gives 0.23 eV per atom. The calculation puts the density of states at the Fermi level at 0.559 states/eV/atom. The offset from the most stable computed form is 0 meV/atom. The calculation puts the magnetization at 1.62 μB per formula unit.

a = 2.820 Å, b = 2.820 Å, c = 7.905 Å
α = 90.00°, β = 90.00°, γ = 90.00°
Atoms (fractional coordinates):
Cu (0.000, 0.000, 0.000)
Ru (0.500, 0.500, 0.217)
Au (0.000, 0.000, 0.477)
Au (0.500, 0.500, 0.763)

***

Here is crystalline Cu2RuAu at its relaxed geometry from Alexandria. Energies are from PBE-GGA.

Properties
For the density, the calculation gives 12.2 g/cm3. The space group is Pmmm (47). For the energy relative to the elements, the calculation gives 0.32 eV per atom. The calculation puts the density of states at the Fermi level at 0.843 states/eV/atom. The offset from the most stable computed form is 119 meV/atom. The calculation puts the magnetization at 0.00 μB per formula unit.

a = 2.705 Å, b = 4.517 Å, c = 4.736 Å
α = 90.00°, β = 90.00°, γ = 90.00°
Atoms (fractional coordinates):
Cu (0.000, 0.000, 0.000)
Cu (0.500, 0.000, 0.500)
Ru (0.000, 0.500, 0.500)
Au (0.500, 0.500, 0.000)

***

magnetization of number 4 (Cu2RuAu)? 0.00 μB per formula unit